Entry 1:
Computed, not measured: an optimized crystal structure of Be2Co2W at the GGA-PBE level of DFT.

The energy of formation from the pure elements is 0.02 eV per atom. As for the volume: 10.7 A^3/atom.

The space group is P4/mbm (No. 127) and the conventional cell measures 6.392, 6.392 and 2.615 Å, with angles of 90.00, 90.00 and 90.00 degrees. The asymmetric unit holds Be at (0.159, 0.341, 0.000), Co at (0.136, 0.636, 0.500) and W at (0.000, 0.000, 0.500).

Entry 2:
Computed, not measured: an optimized crystal structure of BeCo2W at the GGA-PBE level of DFT.

The energy of formation from the pure elements is 0.09 eV per atom. As for the volume: 11.4 A^3/atom.

The space group is P4/mmm (No. 123) and the conventional cell measures 3.654, 3.654 and 3.416 Å, with angles of 90.00, 90.00 and 90.00 degrees. The asymmetric unit holds Be at (0.000, 0.000, 0.000), Co at (0.000, 0.500, 0.500) and W at (0.500, 0.500, 0.000).

Entry 3:
Computed, not measured: an optimized crystal structure of Be2CoW at the GGA-PBE level of DFT.

The energy of formation from the pure elements is 0.16 eV per atom. As for the volume: 11.3 A^3/atom.

The space group is Immm (No. 71) and the conventional cell measures 2.632, 4.317 and 7.938 Å, with angles of 90.00, 90.00 and 90.00 degrees. The asymmetric unit holds Be at (0.000, 0.000, 0.229), Co at (0.000, 0.500, 0.500) and W at (0.000, 0.500, 0.000).

Entry 4:
Computed, not measured: an optimized crystal structure of BeCoW3 at the GGA-PBE level of DFT.

The energy of formation from the pure elements is 0.97 eV per atom. As for the volume: 14.5 A^3/atom.

The space group is Pm-3m (No. 221) and the conventional cell measures 4.168, 4.168 and 4.168 Å, with angles of 90.00, 90.00 and 90.00 degrees. The asymmetric unit holds Be at (0.000, 0.000, 0.000), Co at (0.500, 0.500, 0.500) and W at (0.000, 0.000, 0.500).

Entry 5:
Computed, not measured: an optimized crystal structure of Be2CoW at the GGA-PBE level of DFT.

The energy of formation from the pure elements is 0.28 eV per atom. As for the volume: 11.5 A^3/atom.

The space group is R-3m (No. 166, hexagonal axes) and the conventional cell measures 2.6559, 2.6559 and 22.6421 Å, with angles of 90.00, 90.00 and 120.00 degrees. The asymmetric unit holds Be at (0.0000, 0.0000, 0.2411), Co at (0.0000, 0.0000, 0.5000) and W at (0.0000, 0.0000, 0.0000).

Entry 6:
Computed, not measured: an optimized crystal structure of BeCo2W at the GGA-PBE level of DFT.

The energy of formation from the pure elements is -0.16 eV per atom. As for the volume: 11.0 A^3/atom.

The space group is P4/mmm (No. 123) and the conventional cell measures 2.676, 2.676 and 6.137 Å, with angles of 90.00, 90.00 and 90.00 degrees. The asymmetric unit holds Be at (0.000, 0.000, 0.000), Co at (0.500, 0.500, 0.208) and W at (0.000, 0.000, 0.500).

Entry 7:
Computed, not measured: an optimized crystal structure of Be2Co3W at the GGA-PBE level of DFT.

The energy of formation from the pure elements is -0.19 eV per atom. As for the volume: 10.3 A^3/atom.

The space group is P4/mmm (No. 123) and the conventional cell measures 2.655, 2.655 and 8.746 Å, with angles of 90.00, 90.00 and 90.00 degrees. The asymmetric unit holds Be at (0.000, 0.000, 0.147), Co at (0.500, 0.500, 0.000), Co at (0.500, 0.500, 0.293) and W at (0.000, 0.000, 0.500).

Entry 8:
Computed, not measured: an optimized crystal structure of Be2Co2W at the GGA-PBE level of DFT.

The energy of formation from the pure elements is 0.25 eV per atom. As for the volume: 10.6 A^3/atom.

The space group is I4/mmm (No. 139) and the conventional cell measures 3.638, 3.638 and 8.030 Å, with angles of 90.00, 90.00 and 90.00 degrees. The asymmetric unit holds Be at (0.000, 0.500, 0.250), Co at (0.000, 0.000, 0.133) and W at (0.000, 0.000, 0.500).

Entry 9:
Computed, not measured: an optimized crystal structure of BeCo2W at the GGA-PBE level of DFT.

The energy of formation from the pure elements is -0.11 eV per atom. As for the volume: 11.3 A^3/atom.

The space group is I4/mmm (No. 139) and the conventional cell measures 3.634, 3.634 and 6.824 Å, with angles of 90.00, 90.00 and 90.00 degrees. The asymmetric unit holds Be at (0.000, 0.000, 0.000), Co at (0.000, 0.500, 0.250) and W at (0.000, 0.000, 0.500).

Entry 10:
Computed, not measured: an optimized crystal structure of Be2CoW at the GGA-PBE level of DFT.

The energy of formation from the pure elements is 0.05 eV per atom. As for the volume: 10.7 A^3/atom.

The space group is Cm (No. 8) and the conventional cell measures 8.846, 2.731 and 3.969 Å, with angles of 90.00, 116.51 and 90.00 degrees. The asymmetric unit holds Be at (0.000, 0.000, 0.000), Be at (0.218, 0.500, 0.216), Co at (0.458, 0.000, 0.458) and W at (0.233, 0.000, 0.731).

Entry 11:
Computed, not measured: an optimized crystal structure of ZrBeCoW2 at the GGA-PBE level of DFT.

The energy of formation from the pure elements is 1.21 eV per atom. As for the volume: 18.7 A^3/atom.

The space group is P4/mmm (No. 123) and the conventional cell measures 4.444, 4.444 and 4.747 Å, with angles of 90.00, 90.00 and 90.00 degrees. The asymmetric unit holds Zr at (0.000, 0.000, 0.000), Be at (0.500, 0.500, 0.000), Co at (0.000, 0.000, 0.500) and W at (0.000, 0.500, 0.500).

Entry 12:
Computed, not measured: an optimized crystal structure of YBeCo at the GGA-PBE level of DFT.

The energy of formation from the pure elements is 0.30 eV per atom. As for the volume: 17.1 A^3/atom.

The space group is F-43m (No. 216) and the conventional cell measures 5.903, 5.903 and 5.903 Å, with angles of 90.00, 90.00 and 90.00 degrees. The asymmetric unit holds Y at (0.000, 0.000, 0.000), Be at (0.250, 0.250, 0.750) and Co at (0.000, 0.000, 0.500).